[1]
The following is a GGA-PBEsol calculation of an optimized crystal structure of BaMg2In, from Alexandria.

Lattice parameters (Å, degrees): 4.9943 4.9934 6.6836 112.00 90.00 120.01
Closest atoms and distances in Å follow each position.
Fractional coordinates of all 4 atoms:
Mg 0.0140 0.0281 0.0424  3 In 2.90, 3 Mg 3.05
Mg 0.2927 0.5855 0.8787  3 Mg 3.05, 3 In 3.17-3.18
Ba 0.4934 0.9868 0.4790  7 Mg 3.62-3.90, 4 In 3.68-3.74
In 0.6998 0.3997 0.0999  6 Mg 2.90-3.18

## Properties
Energy of formation: -0.165 eV per atom
Raw total energy: -2.306 eV per atom
SG: Cm, No. 8
Calculated density: 3.84 g/cm3

[2]
The following is a GGA-PBEsol calculation of an optimized crystal structure of MnZn2Ru, from Alexandria.

Lattice parameters (Å, degrees): 3.7458 3.7446 4.5948 114.05 114.06 90.00
Closest atoms and distances in Å follow each position.
Fractional coordinates of all 4 atoms:
Ru 0.0000 0.5000 0.0000  4 Mn 2.65, 8 Zn 2.65
Zn 0.7500 0.7500 0.4999  4 Zn 2.65, 4 Mn 2.65, 4 Ru 2.65
Zn 0.2500 0.2500 0.5001  4 Zn 2.65, 4 Mn 2.65, 4 Ru 2.65
Mn 0.5000 0.0000 0.0000  4 Ru 2.65, 8 Zn 2.65

## Properties
Energy of formation: 0.017 eV per atom
Raw total energy: -5.757 eV per atom
SG: I4/mmm, No. 139
ΔE to the lowest computed polymorph: 29.9 meV/atom
Calculated density: 9.04 g/cm3

[3]
The following is a GGA-PBEsol calculation of an optimized crystal structure of SrZrAs2, from Alexandria.

Lattice parameters (Å, degrees): 3.6967 4.4473 5.4224 90.00 90.00 90.00
Closest atoms and distances in Å follow each position.
Fractional coordinates of all 4 atoms:
Sr 0.5000 0.5000 0.0000  4 As 2.89
As 0.0000 0.0000 0.0000  4 Sr 2.89
As 0.0000 0.5000 0.5000  4 Zr 2.89
Zr 0.5000 0.0000 0.5000  4 As 2.89

## Properties
Energy of formation: -0.592 eV per atom
Raw total energy: -5.877 eV per atom
SG: Pmmm, No. 47
ΔE to the lowest computed polymorph: 577.8 meV/atom
Calculated density: 6.12 g/cm3

[4]
The following is a GGA-PBEsol calculation of an optimized crystal structure of Ni2PdSe2, from Alexandria.

Lattice parameters (Å, degrees): 3.3892 3.3892 6.9546 104.10 104.10 90.00
Closest atoms and distances in Å follow each position.
Fractional coordinates of all 5 atoms:
Ni 0.2500 0.7500 0.5000  4 Se 2.39, 4 Ni 2.40
Ni 0.7500 0.2500 0.5000  4 Se 2.39, 4 Ni 2.40
Se 0.3793 0.3793 0.7586  4 Ni 2.39
Se 0.6207 0.6207 0.2414  4 Ni 2.39
Pd 0.0000 0.0000 0.0000  8 Se 2.87

## Properties
Raw total energy: -5.233 eV per atom
SG: I4/mmm, No. 139
Formation energy from raw total energies: -0.04 eV/atom
ΔE to the lowest computed polymorph: 254.7 meV/atom
Calculated density: 8.45 g/cm3